PBE-GGA Sm4Si2Sn, relaxed; SG = R-3m, No. 166; Fermi-level density of states = 3.07 states/eV/f.u.; density = 6.38 g/cm3; energy relative to the elements, uncorrected = -534 meV per atom; total DFT energy (no corrections) = -5.3522 eV/atom
1.0
2.392 1.381 10.187
-2.392 1.381 10.187
0.000 -2.762 10.187
Sm Si Sn
4 2 1
Cartesian
0.000 0.000 3.538
0.000 0.000 9.107
0.000 0.000 21.455
0.000 0.000 27.023
0.000 0.000 12.293
0.000 0.000 18.269
0.000 0.000 15.281